(1)
Below is CaSO2 after structural relaxation, with properties calculated at the PBE level.

The structure in POSCAR format:
```
CaSO2
1.0
-1.879 -3.950 4.503
0.526 -1.998 5.928
-2.661 -0.828 5.625
O S Ca
2 1 1
direct
0.902 0.902 0.902
0.098 0.098 0.098
0.000 0.000 0.000
0.500 0.500 0.500
```

Properties
- spin magnetization (Bohr magnetons per cell) = 0.0
- uncorrected formation energy (kJ/mol of formula units) = -574
- DOS at the Fermi energy (states/eV/atom) = 0.458

(2)
Below is Ca2SO after structural relaxation, with properties calculated at the PBE level.

The structure in POSCAR format:
```
Ca2SO
1.0
6.477 0.000 0.000
0.000 6.477 0.000
3.238 3.238 4.017
S Ca O
2 4 2
direct
0.750 0.250 0.500
0.000 0.000 0.000
0.186 0.625 0.250
0.564 0.125 0.250
0.375 0.436 0.750
0.875 0.814 0.750
0.250 0.750 0.500
0.500 0.500 0.000
```

Properties
- spin magnetization (Bohr magnetons per cell) = 0.0
- polymorph energy (0 for the lowest one) (kJ/mol of formula units) = 27
- uncorrected formation energy (kJ/mol of formula units) = -910
- DOS at the Fermi energy (states/eV/atom) = 0.000

Q: Number 2 is which compound?
A: Ca2SO